# PBE-GGA K12Rb5Pd3, optimized geometry
data_K12Rb5Pd3
_chemical_formula_sum 'K48 Rb20 Pd12'
_symmetry_space_group_name_H-M 'P 1'
_symmetry_Int_Tables_number 1
_cell_length_a 19.434
_cell_length_b 19.434
_cell_length_c 19.434
_cell_angle_alpha 109.47
_cell_angle_beta 109.47
_cell_angle_gamma 109.47
loop_
_symmetry_equiv_pos_as_xyz
'x,y,z'
loop_
_atom_site_label
_atom_site_type_symbol
_atom_site_fract_x
_atom_site_fract_y
_atom_site_fract_z
K1 K 0.033 0.633 0.372
K2 K 0.033 0.900 0.660
K3 K 0.100 0.261 0.133
K4 K 0.100 0.340 0.967
K5 K 0.128 0.761 0.660
K6 K 0.128 0.867 0.467
K7 K 0.133 0.100 0.261
K8 K 0.133 0.533 0.872
K9 K 0.160 0.261 0.628
K10 K 0.160 0.400 0.533
K11 K 0.239 0.340 0.872
K12 K 0.239 0.400 0.367
K13 K 0.261 0.133 0.100
K14 K 0.261 0.628 0.160
K15 K 0.340 0.872 0.239
K16 K 0.340 0.967 0.100
K17 K 0.367 0.239 0.400
K18 K 0.367 0.628 0.967
K19 K 0.372 0.033 0.633
K20 K 0.372 0.840 0.739
K21 K 0.400 0.367 0.239
K22 K 0.400 0.533 0.160
K23 K 0.467 0.128 0.867
K24 K 0.467 0.840 0.600
K25 K 0.533 0.160 0.400
K26 K 0.533 0.872 0.133
K27 K 0.600 0.467 0.840
K28 K 0.600 0.633 0.761
K29 K 0.628 0.160 0.261
K30 K 0.628 0.967 0.367
K31 K 0.633 0.372 0.033
K32 K 0.633 0.761 0.600
K33 K 0.660 0.033 0.900
K34 K 0.660 0.128 0.761
K35 K 0.739 0.372 0.840
K36 K 0.739 0.867 0.900
K37 K 0.761 0.600 0.633
K38 K 0.761 0.660 0.128
K39 K 0.840 0.600 0.467
K40 K 0.840 0.739 0.372
K41 K 0.867 0.467 0.128
K42 K 0.867 0.900 0.739
K43 K 0.872 0.133 0.533
K44 K 0.872 0.239 0.340
K45 K 0.900 0.660 0.033
K46 K 0.900 0.739 0.867
K47 K 0.967 0.100 0.340
K48 K 0.967 0.367 0.628
Rb1 Rb 0.000 0.000 0.000
Rb2 Rb 0.000 0.000 0.500
Rb3 Rb 0.000 0.500 0.000
Rb4 Rb 0.000 0.500 0.500
Rb5 Rb 0.125 0.750 0.875
Rb6 Rb 0.125 0.875 0.250
Rb7 Rb 0.250 0.125 0.875
Rb8 Rb 0.250 0.625 0.375
Rb9 Rb 0.375 0.250 0.625
Rb10 Rb 0.375 0.625 0.750
Rb11 Rb 0.500 0.000 0.000
Rb12 Rb 0.500 0.000 0.500
Rb13 Rb 0.500 0.500 0.000
Rb14 Rb 0.500 0.500 0.500
Rb15 Rb 0.625 0.375 0.250
Rb16 Rb 0.625 0.750 0.375
Rb17 Rb 0.750 0.375 0.625
Rb18 Rb 0.750 0.875 0.125
Rb19 Rb 0.875 0.125 0.750
Rb20 Rb 0.875 0.250 0.125
Pd1 Pd 0.125 0.250 0.375
Pd2 Pd 0.125 0.375 0.750
Pd3 Pd 0.250 0.375 0.125
Pd4 Pd 0.250 0.875 0.625
Pd5 Pd 0.375 0.125 0.250
Pd6 Pd 0.375 0.750 0.125
Pd7 Pd 0.625 0.250 0.875
Pd8 Pd 0.625 0.875 0.750
Pd9 Pd 0.750 0.125 0.375
Pd10 Pd 0.750 0.625 0.875
Pd11 Pd 0.875 0.625 0.250
Pd12 Pd 0.875 0.750 0.625
# **Symmetry**: Ia-3d, No. 230
# **Uncorrected energy**: -1.452 eV/atom
# **ΔH_f (0 K)**: 0.228 eV/atom